# Te2OsPb | the Alexandria database | GGA-PBE | optimized geometry
# Calculated density = 9.47 g cm⁻³
# Formation energy (no corrections) = 1.39 eV per formula unit
# Calculated volume = 114.4 Å³ per cell
# DOS at the Fermi energy = 0.856 states/eV per atom
data_Te2OsPb
_chemical_formula_sum 'Te2 Os1 Pb1'
_space_group_name_H-M_alt 'P 1 m 1'
_space_group_IT_number 6
_space_group_name_Hall 'P -2y'
_cell_length_a 4.7642
_cell_length_b 3.2887
_cell_length_c 7.5563
_cell_angle_alpha 90.00
_cell_angle_beta 104.95
_cell_angle_gamma 90.00
loop_
_atom_site_label
_atom_site_fract_x
_atom_site_fract_y
_atom_site_fract_z
Te1 0.0000 0.0000 0.0000
Te2 0.3401 0.5000 0.6481
Os1 0.2284 0.0000 0.3730
Pb1 0.6931 0.5000 0.2890